## CrPt2Cl (GGA-PBE)

Data for a geometry-optimized CrPt2Cl structure.

The space group is I-42d (No. 122) and the conventional cell measures 6.327, 6.327 and 8.113 Å, with angles of 90.00, 90.00 and 90.00 degrees. The asymmetric unit holds Cr at (0.000, 0.000, 0.000), Pt at (0.217, 0.250, 0.125) and Cl at (0.000, 0.000, 0.500).

Its total magnetization is 1.00 μB per formula unit. Its energy is -0.3902 Ry/atom.